Here is YRuPt at its PBEsol-relaxed geometry from the Alexandria database. Energies are from meta-GGA SCAN.

Lattice parameters (Å, degrees): 3.084 3.084 6.533 90.00 90.00 120.00
Fractional positions:
Y1 0.000 0.000 0.000
Ru1 0.667 0.333 0.326
Pt1 0.333 0.667 0.650

mass density: 11.884 g cm⁻³
crystal system: trigonal
formation enthalpy at 0 K: 0.180 eV/atom
E_tot: -44.1072 eV per atom
total moment: 0.00 μB per cell



Here is BeAgCl2 at its PBEsol-relaxed geometry from the Alexandria database. Energies are from meta-GGA SCAN.

Lattice parameters (Å, degrees): 3.255 2.942 9.607 90.00 96.73 90.00
Fractional positions:
Be1 0.000 0.000 0.000
Ag1 0.500 0.000 0.500
Cl1 0.121 0.500 0.858
Cl2 0.879 0.500 0.142

mass density: 3.412 g cm⁻³
uncorrected formation energy: -0.521 eV/atom
crystal system: monoclinic
distance to the lowest polymorph of the same formula: 0.0000 eV per atom
E_tot: -13.4402 eV per atom
total moment: 0.00 μB per cell



Here is BaZrOs2 at its PBEsol-relaxed geometry from the Alexandria database. Energies are from meta-GGA SCAN.

Lattice parameters (Å, degrees): 4.904 4.904 3.361 90.00 90.00 90.00
Fractional positions:
Ba1 0.000 0.000 0.000
Zr1 0.500 0.500 0.000
Os1 0.000 0.500 0.500
Os2 0.500 0.000 0.500

mass density: 12.514 g cm⁻³
crystal system: tetragonal
distance to the lowest polymorph of the same formula: 0.0000 eV per atom
formation enthalpy at 0 K: 0.904 eV/atom
E_tot: -52.5980 eV per atom
total moment: 0.00 μB per cell



Here is La2SI at its PBEsol-relaxed geometry from the Alexandria database. Energies are from meta-GGA SCAN.

Lattice parameters (Å, degrees): 5.254 5.254 5.254 60.00 60.00 60.00
Fractional positions:
La1 0.250 0.250 0.250
La2 0.750 0.750 0.750
S1 0.000 0.000 0.000
I1 0.500 0.500 0.500

mass density: 7.071 g cm⁻³
uncorrected formation energy: -1.468 eV/atom
crystal system: cubic
E_tot: -34.6125 eV per atom
total moment: 0.00 μB per cell



Here is K3InF6 at its PBEsol-relaxed geometry from the Alexandria database. Energies are from meta-GGA SCAN.

Lattice parameters (Å, degrees): 6.391 6.391 6.391 60.00 60.00 60.00
Fractional positions:
K1 0.000 0.000 0.000
K2 0.250 0.250 0.250
K3 0.750 0.750 0.750
In1 0.500 0.500 0.500
F1 0.271 0.271 0.729
F2 0.271 0.729 0.271
F3 0.271 0.729 0.729
F4 0.729 0.271 0.271
F5 0.729 0.271 0.729
F6 0.729 0.729 0.271

mass density: 3.113 g cm⁻³
uncorrected formation energy: -2.874 eV/atom
crystal system: cubic
E_tot: -10.8357 eV per atom
total moment: 0.01 μB per cell



Here is SbRuCl2 at its PBEsol-relaxed geometry from the Alexandria database. Energies are from meta-GGA SCAN.

Lattice parameters (Å, degrees): 3.059 4.488 5.173 90.00 90.00 90.00
Fractional positions:
Sb1 0.000 0.000 0.000
Ru1 0.500 0.000 0.500
Cl1 0.000 0.500 0.500
Cl2 0.500 0.500 0.000

mass density: 6.869 g cm⁻³
uncorrected formation energy: 0.414 eV/atom
crystal system: orthorhombic
distance to the lowest polymorph of the same formula: 0.0000 eV per atom
E_tot: -21.5962 eV per atom
total moment: 0.00 μB per cell



Here is AlAs2Pb at its PBEsol-relaxed geometry from the Alexandria database. Energies are from meta-GGA SCAN.

Lattice parameters (Å, degrees): 5.679 5.679 5.679 144.71 124.34 67.64
Fractional positions:
Al1 0.000 0.000 0.000
As1 0.226 0.726 0.500
As2 0.432 0.432 0.000
Pb1 0.725 0.225 0.500

mass density: 7.405 g cm⁻³
crystal system: orthorhombic
distance to the lowest polymorph of the same formula: 0.4191 eV per atom
formation enthalpy at 0 K: 0.266 eV/atom
E_tot: -30.7127 eV per atom
total moment: 0.00 μB per cell



Here is SrSiSe2N at its PBEsol-relaxed geometry from the Alexandria database. Energies are from meta-GGA SCAN.

Lattice parameters (Å, degrees): 5.278 5.278 3.385 90.00 90.00 90.00
Fractional positions:
Sr1 0.000 0.000 0.000
Si1 0.500 0.500 0.500
Se1 0.000 0.500 0.500
Se2 0.500 0.000 0.500
N1 0.500 0.500 0.000

mass density: 5.066 g cm⁻³
uncorrected formation energy: -0.684 eV/atom
crystal system: tetragonal
E_tot: -17.0318 eV per atom
total moment: 0.00 μB per cell



Here is LaBeRe2 at its PBEsol-relaxed geometry from the Alexandria database. Energies are from meta-GGA SCAN.

Lattice parameters (Å, degrees): 5.466 5.466 5.466 147.15 126.07 64.61
Fractional positions:
La1 0.000 0.000 0.000
Be1 0.707 0.207 0.500
Re1 0.280 0.780 0.500
Re2 0.495 0.495 0.000

mass density: 12.205 g cm⁻³
crystal system: orthorhombic
formation enthalpy at 0 K: 0.707 eV/atom
E_tot: -46.7062 eV per atom
total moment: 0.00 μB per cell



Here is BaTiMn2Si2O10 at its PBEsol-relaxed geometry from the Alexandria database. Energies are from meta-GGA SCAN.

Lattice parameters (Å, degrees): 5.294 6.807 11.175 90.00 94.96 90.00
Fractional positions:
Ba1 0.228 0.250 0.067
Ba2 0.772 0.750 0.933
Ti1 0.275 0.750 0.165
Ti2 0.725 0.250 0.835
Mn1 0.005 0.250 0.500
Mn2 0.500 0.000 0.500
Mn3 0.500 0.500 0.500
Mn4 0.995 0.750 0.500
Si1 0.208 0.518 0.746
Si2 0.208 0.982 0.746
Si3 0.792 0.018 0.254
Si4 0.792 0.482 0.254
O1 0.006 0.065 0.834
O2 0.006 0.435 0.834
O3 0.144 0.017 0.600
O4 0.144 0.483 0.600
O5 0.179 0.750 0.763
O6 0.303 0.750 0.014
O7 0.304 0.750 0.436
O8 0.310 0.250 0.432
O9 0.498 0.041 0.785
O10 0.498 0.459 0.785
O11 0.502 0.541 0.215
O12 0.502 0.959 0.215
O13 0.690 0.750 0.568
O14 0.696 0.250 0.564
O15 0.697 0.250 0.986
O16 0.821 0.250 0.237
O17 0.856 0.517 0.400
O18 0.856 0.983 0.400
O19 0.994 0.565 0.166
O20 0.994 0.935 0.166

mass density: 4.232 g cm⁻³
uncorrected formation energy: -2.820 eV/atom
crystal system: monoclinic
E_tot: -13.7221 eV per atom
total moment: 16.00 μB per cell



Here is SbTe2Pt at its PBEsol-relaxed geometry from the Alexandria database. Energies are from meta-GGA SCAN.

Lattice parameters (Å, degrees): 3.160 3.160 9.890 90.00 90.00 90.00
Fractional positions:
Sb1 0.000 0.000 0.000
Te1 0.000 0.000 0.627
Te2 0.500 0.500 0.292
Pt1 0.500 0.500 0.830

mass density: 9.618 g cm⁻³
uncorrected formation energy: 0.054 eV/atom
crystal system: tetragonal
E_tot: -45.4347 eV per atom
total moment: 0.00 μB per cell



Here is Be2RuPb at its PBEsol-relaxed geometry from the Alexandria database. Energies are from meta-GGA SCAN.

Lattice parameters (Å, degrees): 4.301 4.301 4.301 60.00 60.00 60.00
Fractional positions:
Be1 0.000 0.000 0.000
Be2 0.250 0.250 0.250
Ru1 0.750 0.750 0.750
Pb1 0.500 0.500 0.500

mass density: 9.631 g cm⁻³
crystal system: cubic
distance to the lowest polymorph of the same formula: 0.3463 eV per atom
formation enthalpy at 0 K: 0.622 eV/atom
E_tot: -29.2062 eV per atom
total moment: 0.00 μB per cell